Compound: Cs2CuBBr6
Source: the Alexandria database
Functional: PBE
Structure: relaxed

Unit cell a=7.9132 b=7.9132 c=7.9132 alpha=122.02 beta=122.02 gamma=86.54
Closest atoms and distances in Å follow each position.
Element x y z (fractional)
Cs 0.2500 0.7500 0.5000  12 Br 3.88-3.99
Cs 0.7500 0.2500 0.5000  12 Br 3.88-3.99
Cu 0.0000 0.0000 0.0000  2 Br 2.27
B 0.5000 0.5000 0.0000  4 Br 2.18
Br 0.1973 0.1973 0.0000  1 Cu 2.27
Br 0.2987 0.2987 0.5974  1 B 2.18
Br 0.2987 0.7013 0.0000  1 B 2.18
Br 0.7013 0.2987 0.0000  1 B 2.18
Br 0.7013 0.7013 0.4026  1 B 2.18
Br 0.8027 0.8027 0.0000  1 Cu 2.27

Output
uncorrected formation energy = -0.725 eV per atom

Compound: Ho2Zn3Pd
Source: the Alexandria database
Functional: PBE
Structure: relaxed

Unit cell a=8.9304 b=8.4629 c=5.6453 alpha=75.61 beta=66.63 gamma=37.76
Closest atoms and distances in Å follow each position.
Element x y z (fractional)
Ho 0.2436 0.7564 0.7564  2 Pd 3.08, 10 Zn 3.09-3.11, 1 Ho 3.36
Ho 0.2500 0.2500 0.2500  4 Pd 3.10, 8 Zn 3.11-3.12, 2 Ho 3.45
Ho 0.7500 0.7500 0.7500  4 Pd 3.10, 8 Zn 3.11-3.12, 2 Ho 3.45
Ho 0.7564 0.2436 0.2436  2 Pd 3.08, 10 Zn 3.09-3.11, 1 Ho 3.36
Zn 0.1696 0.6655 0.3345  2 Zn 2.55, 1 Pd 2.61
Zn 0.3345 0.8304 0.1696  2 Zn 2.55, 1 Pd 2.61
Zn 0.3357 0.3357 0.6643  2 Zn 2.55, 1 Pd 2.61
Zn 0.6643 0.6643 0.3357  2 Zn 2.55, 1 Pd 2.61
Zn 0.6655 0.1696 0.8304  2 Zn 2.55, 1 Pd 2.61
Zn 0.8304 0.3345 0.6655  2 Zn 2.55, 1 Pd 2.61
Pd 0.1671 0.1671 0.8329  3 Zn 2.61
Pd 0.8329 0.8329 0.1671  3 Zn 2.61

Final energy (eV/atom)
-2.977; -3.562